(1)
Here is a relaxed structure of Nd6P2RuCl3 from the Alexandria database. Energies are from PBE.

Unit cell a=9.4215 b=9.4215 c=8.7894 alpha=104.12 beta=104.12 gamma=24.87
Positions (direct):
1 Nd 0.0061 0.0061 0.2270
2 Nd 0.3250 0.3250 0.4356
3 Nd 0.3466 0.3466 0.8958
4 Nd 0.6534 0.6534 0.1042
5 Nd 0.6750 0.6750 0.5644
6 Nd 0.9939 0.9939 0.7730
7 P 0.1658 0.1658 0.3374
8 P 0.8342 0.8342 0.6626
9 Ru 0.5000 0.5000 0.0000
10 Cl 0.1712 0.1712 0.8300
11 Cl 0.5000 0.5000 0.5000
12 Cl 0.8288 0.8288 0.1700

The formation energy from raw total energies comes out at -1.342 eV/atom. Its space-group type is C2/m.



(2)
Here is a relaxed structure of Ca2NbCuW from the Alexandria database. Energies are from PBE.

Unit cell a=5.4851 b=5.4851 c=4.6955 alpha=90.00 beta=90.00 gamma=90.00
Positions (direct):
1 Ca 0.0000 0.5000 0.0000
2 Ca 0.5000 0.0000 0.0000
3 Nb 0.0000 0.0000 0.0000
4 Cu 0.0000 0.0000 0.5000
5 W 0.5000 0.5000 0.5000

The formation energy is 1983 meV per atom. Its space-group type is P4/mmm.



(3)
Here is a relaxed structure of Ho4TeRh from the Alexandria database. Energies are from PBE.

Unit cell a=9.9004 b=9.9004 c=9.5285 alpha=113.66 beta=113.66 gamma=31.44
Positions (direct):
1 Ho 0.0287 0.0287 0.2069
2 Ho 0.2004 0.2004 0.8935
3 Ho 0.2465 0.2465 0.3148
4 Ho 0.3977 0.3977 0.9793
5 Ho 0.6023 0.6023 0.0207
6 Ho 0.7535 0.7535 0.6852
7 Ho 0.7996 0.7996 0.1065
8 Ho 0.9713 0.9713 0.7931
9 Te 0.1653 0.1653 0.5420
10 Te 0.8347 0.8347 0.4580
11 Rh 0.1134 0.1134 0.0494
12 Rh 0.8866 0.8866 0.9506

The formation energy from raw total energies comes out at -0.501 eV/atom. Its space-group type is C2/m.



(4)
Here is a relaxed structure of Tb3Pr3Nd2 from the Alexandria database. Energies are from PBE.

Unit cell a=8.7349 b=8.7349 c=6.1155 alpha=109.94 beta=109.94 gamma=39.54
Positions (direct):
1 Tb 0.0000 0.0000 0.0000
2 Tb 0.1296 0.1296 0.5798
3 Tb 0.8704 0.8704 0.4202
4 Pr 0.3664 0.3664 0.8103
5 Pr 0.5000 0.5000 0.5000
6 Pr 0.6336 0.6336 0.1897
7 Nd 0.2495 0.2495 0.1831
8 Nd 0.7505 0.7505 0.8169

The formation energy is 88 meV per atom. Its space-group type is C2/m.



(5)
Here is a relaxed structure of Li2Cd6Hg from the Alexandria database. Energies are from PBE.

Unit cell a=6.7743 b=6.7743 c=10.5484 alpha=114.79 beta=114.79 gamma=26.09
Positions (direct):
1 Li 0.1345 0.1345 0.2471
2 Li 0.8655 0.8655 0.7529
3 Cd 0.1677 0.1677 0.5486
4 Cd 0.2437 0.2437 0.8758
5 Cd 0.4729 0.4729 0.3091
6 Cd 0.5271 0.5271 0.6909
7 Cd 0.7563 0.7563 0.1242
8 Cd 0.8323 0.8323 0.4514
9 Hg 0.5000 0.5000 0.0000

The formation energy is -120 meV per atom. Its space-group type is C2/m.



(6)
Here is a relaxed structure of AsPSe2F from the Alexandria database. Energies are from PBE.

Unit cell a=5.0611 b=5.0611 c=3.9459 alpha=90.00 beta=90.00 gamma=90.00
Positions (direct):
1 As 0.0000 0.0000 0.0000
2 P 0.5000 0.5000 0.0000
3 Se 0.0000 0.5000 0.5000
4 Se 0.5000 0.0000 0.5000
5 F 0.0000 0.0000 0.5000

The formation energy from raw total energies comes out at 0.678 eV/atom. Its space-group type is P4/mmm.



(7)
Here is a relaxed structure of H4Pd8Pb from the Alexandria database. Energies are from PBE.

Unit cell a=6.4791 b=6.4791 c=8.6791 alpha=132.05 beta=132.05 gamma=37.06
Positions (direct):
1 H 0.0028 0.0028 0.3197
2 H 0.3171 0.3171 0.3143
3 H 0.6829 0.6829 0.6857
4 H 0.9972 0.9972 0.6803
5 Pd 0.1673 0.1673 0.9996
6 Pd 0.1666 0.1666 0.6666
7 Pd 0.1676 0.1676 0.3350
8 Pd 0.5000 0.5000 0.3334
9 Pd 0.5000 0.5000 0.6666
10 Pd 0.8324 0.8324 0.6650
11 Pd 0.8327 0.8327 0.0004
12 Pd 0.8334 0.8334 0.3334
13 Pb 0.5000 0.5000 0.0000

Its space-group type is C2/m.



(8)
Here is a relaxed structure of Nd3Rh8Au from the Alexandria database. Energies are from PBE.

Unit cell a=9.3180 b=9.3180 c=9.3180 alpha=33.45 beta=33.45 gamma=33.45
Positions (direct):
1 Nd 0.0000 0.0000 0.0000
2 Nd 0.1300 0.1300 0.1300
3 Nd 0.5139 0.5139 0.5139
4 Rh 0.0676 0.5674 0.5674
5 Rh 0.0690 0.0690 0.5677
6 Rh 0.0690 0.5677 0.0690
7 Rh 0.3177 0.3177 0.3177
8 Rh 0.5674 0.0676 0.5674
9 Rh 0.5674 0.5674 0.0676
10 Rh 0.5677 0.0690 0.0690
11 Rh 0.8179 0.8179 0.8179
12 Au 0.6363 0.6363 0.6363

The formation energy is -486 meV per atom. Its space-group type is R3m.



(9)
Here is a relaxed structure of Tl2SnBr5 from the Alexandria database. Energies are from PBE.

Unit cell a=7.9065 b=7.9065 c=7.8432 alpha=119.64 beta=119.64 gamma=59.46
Positions (direct):
1 Tl 0.0000 0.0000 0.0000
2 Tl 0.5001 0.5001 0.4973
3 Sn 0.8040 0.8040 0.3047
4 Br 0.0889 0.5931 0.0931
5 Br 0.0909 0.5947 0.5908
6 Br 0.5742 0.5742 0.0772
7 Br 0.5931 0.0889 0.0931
8 Br 0.5947 0.0909 0.5908

The formation energy from raw total energies comes out at -0.716 eV/atom. Its space-group type is Cm.



(10)
Here is a relaxed structure of Co5Te12Ir from the Alexandria database. Energies are from PBE.

Unit cell a=6.5469 b=6.5469 c=11.8749 alpha=95.18 beta=95.18 gamma=120.01
Positions (direct):
1 Co 0.0000 0.0000 0.0000
2 Co 0.1667 0.8333 0.5000
3 Co 0.3320 0.6680 0.0000
4 Co 0.6680 0.3320 0.0000
5 Co 0.8333 0.1667 0.5000
6 Te 0.0380 0.3708 0.1147
7 Te 0.1142 0.1142 0.3812
8 Te 0.1922 0.5388 0.6189
9 Te 0.2966 0.2966 0.8864
10 Te 0.3708 0.0380 0.1147
11 Te 0.4612 0.8078 0.3811
12 Te 0.5388 0.1922 0.6189
13 Te 0.6292 0.9620 0.8853
14 Te 0.7034 0.7034 0.1136
15 Te 0.8078 0.4612 0.3811
16 Te 0.8858 0.8858 0.6188
17 Te 0.9620 0.6292 0.8853
18 Ir 0.5000 0.5000 0.5000

The formation energy from raw total energies comes out at -0.192 eV/atom. Its space-group type is C2/m.



(11)
Here is a relaxed structure of Ho2Zn2Ni5Ge from the Alexandria database. Energies are from PBE.

Unit cell a=9.3159 b=9.3159 c=3.4725 alpha=90.00 beta=90.00 gamma=90.00
Positions (direct):
1 Ho 0.1773 0.3227 0.0000
2 Ho 0.3227 0.8227 0.0000
3 Ho 0.6773 0.1773 0.0000
4 Ho 0.8227 0.6773 0.0000
5 Zn 0.1206 0.6206 0.0000
6 Zn 0.3794 0.1206 0.0000
7 Zn 0.6206 0.8794 0.0000
8 Zn 0.8794 0.3794 0.0000
9 Ni 0.0000 0.5000 0.5000
10 Ni 0.0565 0.8008 0.5000
11 Ni 0.1992 0.0565 0.5000
12 Ni 0.3008 0.5565 0.5000
13 Ni 0.4435 0.3008 0.5000
14 Ni 0.5000 0.0000 0.5000
15 Ni 0.5565 0.6992 0.5000
16 Ni 0.6992 0.4435 0.5000
17 Ni 0.8008 0.9435 0.5000
18 Ni 0.9435 0.1992 0.5000
19 Ge 0.0000 0.0000 0.0000
20 Ge 0.5000 0.5000 0.0000

The formation energy is -304 meV per atom. Its space-group type is P4/mbm.



(12)
Here is a relaxed structure of ScTc2Ir from the Alexandria database. Energies are from PBE.

Unit cell a=5.1765 b=5.1765 c=5.1765 alpha=141.87 beta=132.16 gamma=62.75
Positions (direct):
1 Sc 0.0000 0.0000 0.0000
2 Tc 0.2484 0.7484 0.5000
3 Tc 0.7516 0.2516 0.5000
4 Ir 0.5000 0.5000 0.0000

The formation energy is -152 meV per atom. Its space-group type is Immm.



no.,total energy (eV for the cell shown)
1,-70.35
2,-21.21
3,-63.61
4,-37.06
5,-10.70
6,-15.51
7,-60.70
8,-82.23
9,-22.83
10,-85.54
11,-96.53
12,-36.53